*i*
The following is a PBE calculation of a relaxed structure of Zr2Ta2Re, from Alexandria.

Calculated values
Space group   P4/mbm (127)
Fermi-level density of states   10.0 states/eV per cell

a = 6.7662 Å, b = 6.7662 Å, c = 4.5715 Å
α = 90.00°, β = 90.00°, γ = 90.00°
With the nearest neighbours (Å) after each atom.
Element x y z (fractional)
1 Ta 0.3502 0.1498 0.5000  1 Ta 2.87, 6 Zr 2.95-3.08
2 Zr 0.8453 0.6547 0.0000  2 Re 2.56
3 Zr 0.1547 0.3453 0.0000  2 Re 2.56
4 Ta 0.6498 0.8502 0.5000  1 Ta 2.87, 6 Zr 2.95-3.08
5 Zr 0.3453 0.8453 0.0000  2 Re 2.56
6 Zr 0.6547 0.1547 0.0000  2 Re 2.56
7 Ta 0.8502 0.3502 0.5000  1 Ta 2.87, 6 Zr 2.95-3.08
8 Re 0.5000 0.5000 0.0000  4 Zr 2.56
9 Ta 0.1498 0.6498 0.5000  1 Ta 2.87, 6 Zr 2.95-3.08
10 Re 0.0000 0.0000 0.0000  4 Zr 2.56


*ii*
The following is a PBE calculation of a relaxed structure of Zr2Ta2Re, from Alexandria.

Calculated values
Space group   I4/mmm (139)
Fermi-level density of states   5.8 states/eV per cell

a = 3.5678 Å, b = 3.5678 Å, c = 8.7481 Å
α = 78.23°, β = 78.23°, γ = 90.00°
With the nearest neighbours (Å) after each atom.
Element x y z (fractional)
1 Ta 0.2500 0.7500 0.5000  4 Ta 2.52
2 Re 0.0000 0.0000 0.0000  8 Zr 2.94
3 Ta 0.7500 0.2500 0.5000  4 Ta 2.52
4 Zr 0.4099 0.4099 0.1801  4 Re 2.94, 1 Zr 3.02, 4 Ta 3.22
5 Zr 0.5901 0.5901 0.8199  4 Re 2.94, 1 Zr 3.02, 4 Ta 3.22


Stability, lowest: *ii*


*i*
The following is a PBE calculation of a relaxed structure of ZrTa2Re2, from Alexandria.

Calculated values
Space group   Cmmm (65)
Fermi-level density of states   4.5 states/eV per cell

a = 3.2241 Å, b = 3.2192 Å, c = 9.0240 Å
α = 79.73°, β = 90.00°, γ = 90.00°
With the nearest neighbours (Å) after each atom.
Element x y z (fractional)
1 Re 0.5000 0.5992 0.8016  4 Ta 2.70, 4 Zr 2.88
2 Ta 0.0000 0.1808 0.6383  4 Re 2.70, 2 Ta 2.94
3 Zr 0.0000 0.0000 0.0000  8 Re 2.88, 2 Ta 3.21, 4 Zr 3.22
4 Ta 0.0000 0.8192 0.3617  4 Re 2.70, 2 Ta 2.94
5 Re 0.5000 0.4008 0.1984  4 Ta 2.70, 4 Zr 2.88


*ii*
The following is a PBE calculation of a relaxed structure of ZrTa2Re2, from Alexandria.

Calculated values
Space group   P4/mbm (127)
Fermi-level density of states   19.0 states/eV per cell

a = 7.6865 Å, b = 7.6865 Å, c = 3.1081 Å
α = 90.00°, β = 90.00°, γ = 90.00°
With the nearest neighbours (Å) after each atom.
Element x y z (fractional)
1 Re 0.6456 0.1456 0.0000  6 Ta 2.71-2.75, 2 Zr 2.94
2 Ta 0.8502 0.3502 0.5000  6 Re 2.71-2.75
3 Zr 0.0000 0.0000 0.0000  4 Re 2.94, 2 Zr 3.11
4 Re 0.1456 0.3544 0.0000  6 Ta 2.71-2.75, 2 Zr 2.94
5 Zr 0.5000 0.5000 0.0000  4 Re 2.94, 2 Zr 3.11
6 Re 0.8544 0.6456 0.0000  6 Ta 2.71-2.75, 2 Zr 2.94
7 Ta 0.3502 0.1498 0.5000  6 Re 2.71-2.75
8 Ta 0.6498 0.8502 0.5000  6 Re 2.71-2.75
9 Ta 0.1498 0.6498 0.5000  6 Re 2.71-2.75
10 Re 0.3544 0.8544 0.0000  6 Ta 2.71-2.75, 2 Zr 2.94


Stability, lowest: *ii*